Here is a geometry-optimized Ac2FeHO6 structure from the Alexandria database. Energies are from PBE+U.

theoretical density = 8.6 g/cm3
M_tot = 3.0 Bohr magnetons per cell
total DFT energy (no corrections) = -6.584 eV per atom

Lattice parameters (Å, degrees): 5.4075 5.4062 5.5495 119.15 119.17 90.00
With the nearest neighbours (Å) after each atom.
Atoms (fractional coordinates):
1 O 0.7673 0.2678 0.5357  1 Fe 1.87
2 O 0.7478 0.2477 0.0005  1 H 1.89, 1 Fe 1.93
3 O 0.7478 0.7528 0.0005  1 H 1.89, 1 Fe 1.93
4 O 0.2522 0.7523 0.9995  1 H 1.89, 1 Fe 1.93
5 Ac 0.7500 0.7500 0.5000  12 O 2.70-2.78
6 Fe 0.0000 0.5000 0.0000  6 O 1.87-1.93
7 Ac 0.2500 0.2500 0.5000  12 O 2.70-2.78
8 H 0.5000 0.0000 0.0000  4 O 1.89
9 O 0.2327 0.7322 0.4643  1 Fe 1.87
10 O 0.2522 0.2472 0.9995  1 H 1.89, 1 Fe 1.93